SiOsNO | GGA-PBE | relaxed

Computed properties:
Total magnetic moment (μB/atom): 0.195
Symmetry: P4/nmm, No. 129
V (Å³/f.u.): 44.8
Energy relative to the lowest polymorph listed for this composition (eV per atom): 1.258

a = 3.6656 Å, b = 3.6656 Å, c = 6.6632 Å
α = 90.00°, β = 90.00°, γ = 90.00°
With the nearest neighbours (Å) after each atom.
Element x y z (fractional)
1 Si 0.2500 0.7500 0.0000  4 N 1.83
2 Si 0.7500 0.2500 0.0000  4 N 1.83
3 Os 0.2500 0.2500 0.3180  1 N 2.06, 4 O 2.20
4 Os 0.7500 0.7500 0.6820  1 N 2.06, 4 O 2.20
5 N 0.2500 0.2500 0.0092  4 Si 1.83
6 N 0.7500 0.7500 0.9908  4 Si 1.83
7 O 0.2500 0.7500 0.5000  4 Os 2.20
8 O 0.7500 0.2500 0.5000  4 Os 2.20